[1]
Entry from Alexandria: crystalline Ta2CdCl at its relaxed geometry (GGA-PBE).

## Properties
Its formation energy without anion corrections is 847 meV per atom. The energy above the most stable polymorph in this dataset is 913 meV/atom. Its total energy is -5.770 eV/atom. The calculation puts the total magnetization at 0.00 μB per formula unit.

Cell: 5.730 5.730 5.730 Å, 139.25 139.25 58.99°
Sites, in units of the cell vectors:
Cl 0.750 0.250 0.500
Ta 0.000 0.000 0.000
Cd 0.250 0.750 0.500
Ta 0.500 0.500 0.000

[2]
Entry from Alexandria: crystalline AgHgTe2 at its relaxed geometry (GGA-PBE).

## Properties
Its formation energy without anion corrections is 97 meV per atom. Its total energy is -2.262 eV/atom. The calculation puts the total magnetization at 0.00 μB per formula unit.

Cell: 3.198 3.198 11.224 Å, 90.00 90.00 104.10°
Sites, in units of the cell vectors:
Ag 0.500 0.500 0.250
Te 0.000 0.000 0.457
Hg 0.500 0.500 0.750
Te 0.000 0.000 0.043

[3]
Entry from Alexandria: crystalline AgAs3O at its relaxed geometry (GGA-PBE).

## Properties
Its formation energy without anion corrections is 350 meV per atom. The energy above the most stable polymorph in this dataset is 0 meV/atom. Its total energy is -4.002 eV/atom. The calculation puts the total magnetization at 0.00 μB per formula unit.

Cell: 4.450 4.450 4.450 Å, 90.00 90.00 90.00°
Sites, in units of the cell vectors:
As 0.500 0.000 0.000
As 0.000 0.500 0.000
Ag 0.500 0.500 0.500
As 0.000 0.000 0.500
O 0.000 0.000 0.000

[4]
Entry from Alexandria: crystalline SrAg2Br at its relaxed geometry (GGA-PBE).

## Properties
Its formation energy without anion corrections is -639 meV per atom. The energy above the most stable polymorph in this dataset is 4 meV/atom. Its total energy is -2.903 eV/atom. The calculation puts the total magnetization at 0.00 μB per formula unit.

Cell: 4.702 4.702 7.357 Å, 72.81 72.81 59.94°
Sites, in units of the cell vectors:
Br 0.475 0.475 0.553
Ag 0.979 0.979 0.078
Sr 0.737 0.737 0.781
Ag 0.309 0.309 0.088

Question: Which value of formation energy without anion corrections does entry 2 give?
Answer: 97 meV per atom

Question: Which formula does entry 3 have?
Answer: AgAs3O

What did the fourth record say?
Entry from Alexandria: crystalline SrAg2Br at its relaxed geometry (GGA-PBE).

## Properties
Its formation energy without anion corrections is -639 meV per atom. The energy above the most stable polymorph in this dataset is 4 meV/atom. Its total energy is -2.903 eV/atom. The calculation puts the total magnetization at 0.00 μB per formula unit.

Cell: 4.702 4.702 7.357 Å, 72.81 72.81 59.94°
Sites, in units of the cell vectors:
Br 0.475 0.475 0.553
Ag 0.979 0.979 0.078
Sr 0.737 0.737 0.781
Ag 0.309 0.309 0.088